(1)
DFT (meta-GGA SCAN) results for Sc3HgTe at its PBEsol-relaxed geometry.

a = 5.189 Å, b = 5.189 Å, c = 5.189 Å
α = 90.00°, β = 90.00°, γ = 90.00°
Fractional positions:
Sc  0.000  0.000  0.500
Sc  0.000  0.500  0.000
Sc  0.500  0.000  0.000
Hg  0.000  0.000  0.000
Te  0.500  0.500  0.500

Size of the total moment   0.00 μB/cell
E_form (uncorrected)   -0.179 eV/atom
E_tot   -29.80 eV/atom


(2)
DFT (meta-GGA SCAN) results for Sc2HgTe at its PBEsol-relaxed geometry.

a = 5.914 Å, b = 5.914 Å, c = 5.914 Å
α = 141.61°, β = 136.44°, γ = 59.44°
Fractional positions:
Sc  0.000  0.000  0.000
Sc  0.746  0.246  0.500
Hg  0.498  0.498  0.000
Te  0.249  0.749  0.500

Size of the total moment   0.00 μB/cell
E_form (uncorrected)   -0.682 eV/atom
E_tot   -34.15 eV/atom


(3)
DFT (meta-GGA SCAN) results for Sc2HgTe at its PBEsol-relaxed geometry.

a = 4.058 Å, b = 4.058 Å, c = 5.788 Å
α = 90.00°, β = 90.00°, γ = 90.00°
Fractional positions:
Sc  0.000  0.000  0.000
Sc  0.500  0.500  0.499
Hg  0.000  0.000  0.500
Te  0.500  0.500  0.999

Size of the total moment   0.00 μB/cell
E_form (uncorrected)   -0.822 eV/atom
E_tot   -34.30 eV/atom


(4)
DFT (meta-GGA SCAN) results for Sc2TlHg at its PBEsol-relaxed geometry.

a = 4.952 Å, b = 4.952 Å, c = 4.952 Å
α = 60.00°, β = 60.00°, γ = 60.00°
Fractional positions:
Sc  0.250  0.250  0.250
Sc  0.750  0.750  0.750
Tl  0.000  0.000  0.000
Hg  0.500  0.500  0.500

Calculated formation energy   -0.566 eV/atom
Size of the total moment   0.44 μB/cell
E_tot   -42.82 eV/atom


(5)
DFT (meta-GGA SCAN) results for Sc4TlHg at its PBEsol-relaxed geometry.

a = 5.764 Å, b = 5.764 Å, c = 5.764 Å
α = 60.00°, β = 60.00°, γ = 60.00°
Fractional positions:
Sc  0.125  0.125  0.125
Sc  0.125  0.125  0.624
Sc  0.125  0.624  0.125
Sc  0.624  0.125  0.125
Tl  0.500  0.500  0.500
Hg  0.750  0.750  0.750

Calculated formation energy   0.151 eV/atom
Size of the total moment   0.00 μB/cell
E_tot   -32.76 eV/atom


(6)
DFT (meta-GGA SCAN) results for Sc2TlHg at its PBEsol-relaxed geometry.

a = 3.478 Å, b = 3.478 Å, c = 7.106 Å
α = 90.00°, β = 90.00°, γ = 90.00°
Fractional positions:
Sc  0.000  0.000  0.242
Sc  0.000  0.000  0.758
Tl  0.500  0.500  0.500
Hg  0.500  0.500  0.000

Calculated formation energy   -0.567 eV/atom
Size of the total moment   0.34 μB/cell
E_tot   -42.82 eV/atom


(7)
DFT (meta-GGA SCAN) results for Sc2TlHg at its PBEsol-relaxed geometry.

a = 4.936 Å, b = 4.936 Å, c = 3.525 Å
α = 90.00°, β = 90.00°, γ = 90.00°
Fractional positions:
Sc  0.000  0.500  0.000
Sc  0.500  0.000  0.000
Tl  0.000  0.000  0.500
Hg  0.500  0.500  0.500

Calculated formation energy   -0.564 eV/atom
Size of the total moment   0.28 μB/cell
E_tot   -42.81 eV/atom


(8)
DFT (meta-GGA SCAN) results for Sc2TlHg at its PBEsol-relaxed geometry.

a = 3.398 Å, b = 4.378 Å, c = 6.025 Å
α = 90.00°, β = 90.00°, γ = 90.00°
Fractional positions:
Sc  0.000  0.000  0.000
Sc  0.500  0.500  0.296
Tl  0.000  0.000  0.499
Hg  0.500  0.500  0.802

Calculated formation energy   -0.334 eV/atom
Size of the total moment   0.00 μB/cell
E_tot   -42.58 eV/atom